[1]
Material: Pm3Mg4Si3
Method: DFT, GGA-PBE
State: optimized geometry

Lattice parameters (Å, degrees): 9.8390 9.8390 9.8390 90.00 90.00 90.00
With the nearest neighbours (Å) after each atom.
Space group I-43d (No. 220)
One atom of each set of equivalent atoms:
Pm 0.0000 0.2500 0.8750 x12  4 Si 3.01
Mg 0.0816 0.4184 0.5816 x16  3 Si 2.74
Si 0.0000 0.2500 0.3750 x12  4 Mg 2.74, 4 Pm 3.01

Density (g/cm³): 4.30
Uncorrected formation energy (eV per atom): -0.406

=====

[2]
Material: Pm5Mg2Si5
Method: DFT, GGA-PBE
State: optimized geometry

Lattice parameters (Å, degrees): 13.6530 4.2067 11.7901 90.00 113.28 90.00
With the nearest neighbours (Å) after each atom.
Space group C2/m (No. 12)
One atom of each set of equivalent atoms:
Pm 0.0000 0.0000 0.0000 x2  4 Si 2.94
Pm 0.1574 0.0000 0.5250 x4  5 Si 2.94-3.17
Pm 0.2126 0.0000 0.8334 x4  5 Si 2.84-3.14
Mg 0.0535 0.5000 0.2760 x4  3 Si 2.62-2.76
Si 0.0000 0.5000 0.5000 x2  4 Pm 2.94, 2 Mg 3.01
Si 0.1160 0.5000 0.9310 x4  1 Mg 2.62, 1 Pm 2.84
Si 0.1878 0.0000 0.2885 x4  2 Mg 2.76, 1 Pm 2.98

Density (g/cm³): 4.88
Uncorrected formation energy (eV per atom): -0.394

=====

[3]
Material: PmMgSi3
Method: DFT, GGA-PBE
State: optimized geometry

Lattice parameters (Å, degrees): 4.1570 24.7531 3.8601 90.00 90.00 90.00
With the nearest neighbours (Å) after each atom.
Space group Cmcm (No. 63)
One atom of each set of equivalent atoms:
Pm 0.0000 0.0751 0.2500 x4  12 Si 3.08-3.41
Mg 0.0000 0.2058 0.7500 x4  7 Si 2.72-2.89
Si 0.0000 0.3156 0.7500 x4  2 Si 2.41
Si 0.0000 0.3742 0.2500 x4  3 Si 2.41-2.45
Si 0.0000 0.4733 0.2500 x4  3 Si 2.34-2.45

Density (g/cm³): 4.24
Uncorrected formation energy (eV per atom): -0.347

=====

[4]
Material: Pm2Mg3Si2
Method: DFT, GGA-PBE
State: optimized geometry

Lattice parameters (Å, degrees): 3.8395 20.6326 4.2626 90.00 90.00 90.00
With the nearest neighbours (Å) after each atom.
Space group Cmmm (No. 65)
One atom of each set of equivalent atoms:
Pm 0.0000 0.1728 0.0000 x4  6 Si 2.99-3.16
Mg 0.0000 0.0000 0.0000 x2  8 Mg 3.27, 2 Pm 3.56
Mg 0.0000 0.4237 0.5000 x4  1 Si 2.85, 1 Mg 3.15
Si 0.0000 0.2856 0.5000 x4  2 Si 2.42

Density (g/cm³): 4.12
Uncorrected formation energy (eV per atom): -0.410

=====

[5]
Material: Pm2MgSi3
Method: DFT, GGA-PBE
State: optimized geometry

Lattice parameters (Å, degrees): 4.0750 4.3282 14.7349 90.00 90.00 90.00
With the nearest neighbours (Å) after each atom.
Space group Imm2 (No. 44)
One atom of each set of equivalent atoms:
Pm 0.0000 0.0000 0.0000 x2  8 Si 3.17-3.40, 4 Mg 3.30
Pm 0.0000 0.5000 0.2702 x2  10 Si 3.15-3.23, 2 Mg 3.26
Mg 0.0000 0.0000 0.5974 x2  3 Si 2.52-2.53
Si 0.0000 0.0000 0.4257 x2  2 Si 2.37, 1 Mg 2.53
Si 0.0000 0.5000 0.6849 x2  1 Si 2.33, 2 Mg 2.52
Si 0.0000 0.5000 0.8431 x2  3 Si 2.33-2.37

Density (g/cm³): 5.09
Uncorrected formation energy (eV per atom): -0.558

=====

[6]
Material: Pm2MgSi
Method: DFT, GGA-PBE
State: optimized geometry

Lattice parameters (Å, degrees): 4.9500 4.9500 4.0993 90.00 90.00 90.00
With the nearest neighbours (Å) after each atom.
Space group P4/mmm (No. 123)
One atom of each set of equivalent atoms:
Pm 0.0000 0.5000 0.0000 x2  4 Mg 3.21, 4 Si 3.21, 4 Pm 3.50
Mg 0.0000 0.0000 0.5000 x1  8 Pm 3.21, 4 Si 3.50
Si 0.5000 0.5000 0.5000 x1  8 Pm 3.21, 4 Mg 3.50

Density (g/cm³): 5.66
Uncorrected formation energy (eV per atom): -0.314

=====

[7]
Material: Pm3MgSi4
Method: DFT, GGA-PBE
State: optimized geometry

Lattice parameters (Å, degrees): 4.2944 6.0045 15.4463 90.00 90.00 90.00
With the nearest neighbours (Å) after each atom.
Space group Immm (No. 71)
One atom of each set of equivalent atoms:
Pm 0.0000 0.0000 0.0000 x2  8 Si 3.13
Pm 0.0000 0.5000 0.1909 x4  6 Si 3.00-3.04
Mg 0.0000 0.0000 0.5000 x2  4 Si 2.70
Si 0.0000 0.3081 0.3729 x8  1 Si 2.30

Density (g/cm³): 4.77
Uncorrected formation energy (eV per atom): -0.513

=====

[8]
Material: Pm5MgSi2
Method: DFT, GGA-PBE
State: optimized geometry

Lattice parameters (Å, degrees): 4.2856 7.3006 15.4871 90.00 90.00 90.00
With the nearest neighbours (Å) after each atom.
Space group Immm (No. 71)
One atom of each set of equivalent atoms:
Pm 0.0000 0.0000 0.0000 x2  2 Si 3.00
Pm 0.0000 0.2376 0.3528 x8  3 Si 2.96-3.02
Mg 0.0000 0.5000 0.0000 x2  10 Pm 3.58-3.65
Si 0.0000 0.0000 0.1935 x4  7 Pm 2.96-3.02

Density (g/cm³): 5.52
Uncorrected formation energy (eV per atom): -0.306

=====

[9]
Material: PmMgSi2
Method: DFT, GGA-PBE
State: optimized geometry

Lattice parameters (Å, degrees): 4.4350 4.4350 4.1140 90.00 90.00 90.00
With the nearest neighbours (Å) after each atom.
Space group P4/mmm (No. 123)
One atom of each set of equivalent atoms:
Pm 0.0000 0.0000 0.0000 x1  8 Si 3.02, 4 Mg 3.14
Mg 0.5000 0.5000 0.0000 x1  8 Si 3.02, 4 Pm 3.14
Si 0.0000 0.5000 0.5000 x2  4 Mg 3.02, 4 Pm 3.02, 4 Si 3.14

Density (g/cm³): 4.63
Uncorrected formation energy (eV per atom): -0.304

=====

[10]
Material: PmMgSi2
Method: DFT, GGA-PBE
State: optimized geometry

Lattice parameters (Å, degrees): 6.9585 6.9585 6.9585 90.00 90.00 90.00
With the nearest neighbours (Å) after each atom.
Space group Fm-3m (No. 225)
One atom of each set of equivalent atoms:
Pm 0.0000 0.0000 0.0000 x4  8 Si 3.01
Mg 0.0000 0.0000 0.5000 x4  8 Si 3.01
Si 0.2500 0.2500 0.2500 x8  4 Mg 3.01, 4 Pm 3.01

Density (g/cm³): 4.44
Uncorrected formation energy (eV per atom): -0.135

=====

[11]
Material: PmMgSi4
Method: DFT, GGA-PBE
State: optimized geometry

Lattice parameters (Å, degrees): 7.5282 7.5282 7.5282 90.00 90.00 90.00
With the nearest neighbours (Å) after each atom.
Space group F-43m (No. 216)
One atom of each set of equivalent atoms:
Pm 0.0000 0.0000 0.0000 x4  12 Si 3.13, 4 Mg 3.26
Mg 0.2500 0.2500 0.7500 x4  12 Si 3.11, 4 Pm 3.26
Si 0.1221 0.1221 0.3779 x16  6 Si 2.60-2.72

Density (g/cm³): 4.38
Uncorrected formation energy (eV per atom): -0.168

=====

[12]
Material: Pm4MgSi
Method: DFT, GGA-PBE
State: optimized geometry

Lattice parameters (Å, degrees): 7.4117 7.4117 14.0203 90.00 90.00 90.00
With the nearest neighbours (Å) after each atom.
Space group I4_1/amd (No. 141, origin choice 2)
One atom of each set of equivalent atoms:
Pm 0.2328 0.0000 0.0000 x16  2 Si 3.08, 2 Mg 3.23
Mg 0.0000 0.2500 0.3750 x4  8 Pm 3.23
Si 0.0000 0.2500 0.8750 x4  8 Pm 3.08

Density (g/cm³): 5.45
Uncorrected formation energy (eV per atom): 0.007

=====

Which of these has the lowest density?
Pm2Mg3Si2

=====

Look up the density of the third one.
4.24 g/cm³